Entry from Alexandria: crystalline AlPdPtC2 at its relaxed geometry (GGA-PBE).

Properties
Crystal system: tetragonal
Formation energy from the elements (meV/atom): 1704

a b c (Å): 3.8592 5.2581 3.8592
angles (deg): 90.00 90.00 90.00
Last column: nearest neighbours and their distance in Å.
Sites, in units of the cell vectors:
C (0.0000, 0.0000, 0.5000)  2 Pd 1.93
C (0.5000, 0.0000, 0.0000)  2 Pd 1.93
Al (0.0000, 0.5000, 0.0000)  2 Pd 2.63, 4 Pt 2.73
Pd (0.0000, 0.0000, 0.0000)  4 C 1.93
Pt (0.5000, 0.5000, 0.5000)  4 Al 2.73